Crystalline BaAg2SnSe4 at its relaxed geometry. Source: OQMD, functional PBE.

Cell lengths 6.7279, 6.7305, 6.7440 Å; angles 115.85, 111.11, 101.65 degrees
Element x y z (fractional)
Ba: 0.0000 0.0000 0.0000
Ag: 0.3191 0.8207 0.5061
Ag: 0.6755 0.1778 0.4975
Sn: 0.4988 0.4995 0.9989
Se: 0.1269 0.1202 0.5988
Se: 0.4794 0.8810 0.0095
Se: 0.5187 0.5307 0.3998
Se: 0.8683 0.4683 0.9871

Distance to the lowest polymorph of the same formula: 0 kJ/mol of formula units
Calculated total energy: -3.929 eV per atom